Record 1
A plane-wave DFT calculation with PBE-GGA was carried out for a geometry-optimized DyYNiAu structure.

Calculated values
The calculation puts the energy relative to the lowest polymorph listed for this composition at 0.22 eV per formula unit. The formation energy is -56 kJ per mole of atoms. The volume comes out at 21.61 A^3/atom.

The structure in POSCAR format:
```
DyYNiAu
1.0
-2.0226 -0.6297 4.4886
2.8038 -1.5526 3.7898
1.1309 3.1192 3.6913
Ni Dy Y Au
1 1 1 1
Cartesian
0.0000 0.0000 0.0000 Ni
0.4780 0.2342 2.9924 Dy
1.4341 0.7027 8.9773 Y
0.9561 0.4685 5.9849 Au
```

---

Record 2
A plane-wave DFT calculation with PBE-GGA was carried out for a geometry-optimized DyYNiAu structure.

Calculated values
The calculation puts the energy relative to the lowest polymorph listed for this composition at 0.00 eV per formula unit. The formation energy is -62 kJ per mole of atoms. The volume comes out at 22.33 A^3/atom.

The structure in POSCAR format:
```
DyYNiAu
1.0
3.7701 0.0000 0.0000
0.0000 4.5160 0.0000
-1.8850 0.0000 5.2472
Au Ni Dy Y
1 1 1 1
Cartesian
1.8850 2.2580 0.8217 Au
0.0000 0.0000 4.3897 Ni
1.8850 2.2580 3.7944 Dy
0.0000 0.0000 1.4886 Y
```

---

Record 3
A plane-wave DFT calculation with PBE-GGA was carried out for a geometry-optimized DyZnNiAu structure.

Calculated values
The formation energy is -39 kJ per mole of atoms. The volume comes out at 17.99 A^3/atom.

The structure in POSCAR format:
```
DyZnNiAu
1.0
-4.2205 1.6200 -1.1665
-3.2359 0.6721 3.2978
-1.2483 4.3369 1.1962
Dy Ni Au Zn
1 1 1 1
Cartesian
0.0000 0.0000 0.0000 Dy
-2.1762 1.6572 0.8319 Ni
-6.5285 4.9717 2.4956 Au
-4.3524 3.3145 1.6638 Zn
```

---

Record 4
A plane-wave DFT calculation with PBE-GGA was carried out for a geometry-optimized DyZrNiAu structure.

Calculated values
The formation energy is -40 kJ per mole of atoms. The volume comes out at 20.03 A^3/atom.

The structure in POSCAR format:
```
DyZrNiAu
1.0
4.8390 0.0000 0.0000
2.4195 4.1907 0.0000
2.4195 1.3969 3.9510
Dy Zr Au Ni
1 1 1 1
Cartesian
0.0000 0.0000 0.0000 Dy
4.8390 2.7938 1.9755 Zr
7.2584 4.1907 2.9632 Au
2.4195 1.3969 0.9877 Ni
```

---

Record 5
A plane-wave DFT calculation with PBE-GGA was carried out for a geometry-optimized DyNpAu2 structure.

Calculated values
The calculation puts the energy relative to the lowest polymorph listed for this composition at 0.00 eV per formula unit. The formation energy is -40 kJ per mole of atoms. The volume comes out at 23.37 A^3/atom.

The structure in POSCAR format:
```
DyNpAu2
1.0
3.5342 0.0000 0.0000
0.0000 3.5342 0.0000
0.0000 0.0000 7.4836
Dy Np Au
1 1 2
Cartesian
1.7671 1.7671 0.0000 Dy
1.7671 1.7671 3.7418 Np
0.0000 0.0000 5.7120 Au
0.0000 0.0000 1.7716 Au
```

---

Record 6
A plane-wave DFT calculation with PBE-GGA was carried out for a geometry-optimized Dy3AuO6 structure.

Calculated values
Its total energy is -7.29 eV per atom. The volume comes out at 14.16 A^3/atom.

The structure in POSCAR format:
```
Dy3AuO6
1.0
-0.6688 -3.9565 -3.8632
-3.4361 -4.1180 4.8122
-5.4508 3.7318 -2.8783
O Dy Au
12 6 2
Cartesian
-5.9330 -1.1313 0.6767 O
-3.0685 -4.7390 -0.1487 O
-5.7756 -4.8566 0.4405 O
-3.6985 0.9968 -1.8983 O
-5.4476 -0.5282 -3.7140 O
-4.0353 -6.9513 1.4930 O
-5.5706 2.3117 -3.7122 O
-3.1364 -1.0098 0.0682 O
-6.3363 -2.8414 -1.5176 O
-6.4056 0.8791 -1.3092 O
-3.9707 -3.0014 2.5786 O
-3.5396 -2.7199 -2.1262 O
-7.0434 -3.0709 0.6620 Dy
-4.8472 -4.5833 -1.7647 Dy
-7.8622 -3.1616 -3.1188 Dy
-4.9208 -1.0151 -1.3908 Dy
-2.7945 -2.9414 -4.2216 Dy
-1.9757 -2.8507 -0.4408 Dy
-4.0143 -4.9243 1.9944 Au
-5.8305 -1.1288 -5.5938 Au
```

---

Record 7
A plane-wave DFT calculation with PBE-GGA was carried out for a geometry-optimized Dy2AuO structure.

Calculated values
Its total energy is -5.55 eV per atom. The volume comes out at 21.60 A^3/atom.

The structure in POSCAR format:
```
Dy2AuO
1.0
-1.1348 -1.5439 -2.8787
-1.0699 -3.2867 0.1075
-8.4914 0.9695 0.7504
Dy O Au
2 1 1
Cartesian
-4.8288 -3.9579 -2.2049 Dy
-5.8673 0.0968 0.1840 Dy
-5.3481 -1.9306 -1.0105 O
0.0000 0.0000 0.0000 Au
```

---

Record 8
A plane-wave DFT calculation with PBE-GGA was carried out for a geometry-optimized Dy2Au2O7 structure.

Calculated values
Its total energy is -6.17 eV per atom. The volume comes out at 13.12 A^3/atom.

The structure in POSCAR format:
```
Dy2Au2O7
1.0
6.4237 0.0000 3.7087
2.1412 6.0563 3.7087
0.0000 0.0000 7.4175
O Dy Au
14 4 4
Cartesian
1.1938 2.8540 5.3498 O
3.0887 0.1742 5.3498 O
5.4763 1.3399 5.3498 O
4.0361 2.8540 3.7087 O
4.2825 3.0282 7.4175 O
6.4237 4.5423 11.1262 O
1.8949 1.3399 7.4175 O
5.4763 1.3399 9.4852 O
0.2464 0.1742 3.7087 O
3.0887 0.1742 2.0677 O
3.0887 4.7165 5.3498 O
3.0887 4.7165 9.4852 O
1.1938 2.8540 2.0677 O
6.6701 4.7165 7.4175 O
5.3531 3.7852 5.5631 Dy
4.2825 0.7570 7.4175 Dy
5.3531 3.7852 9.2719 Dy
2.1412 3.7852 7.4175 Dy
1.0706 0.7570 5.5631 Au
2.1412 3.7852 3.7087 Au
1.0706 0.7570 1.8544 Au
4.2825 0.7570 3.7087 Au
```

---

Record 9
A plane-wave DFT calculation with PBE-GGA was carried out for a geometry-optimized DyPaAu2O8 structure.

Calculated values
Its total energy is -6.51 eV per atom. The volume comes out at 15.09 A^3/atom.

The structure in POSCAR format:
```
DyPaAu2O8
1.0
6.1625 0.3597 0.0000
-2.4108 5.6828 0.0000
-1.8758 -3.0212 5.0457
O Au Pa Dy
8 2 1 1
Cartesian
0.0988 1.8198 4.1697 O
4.7150 1.0490 1.5933 O
0.2886 2.1255 0.8760 O
-0.0988 -1.8198 4.1697 O
3.4631 3.9169 0.8760 O
1.4474 -0.6893 1.5933 O
3.1356 2.0297 3.4524 O
3.0269 -1.6700 3.4524 O
3.0812 0.1799 2.5228 Au
1.8758 3.0212 0.0000 Au
0.0000 0.0000 0.0000 Pa
-1.2054 2.8414 2.5228 Dy
```

---

Record 10
A plane-wave DFT calculation with PBE-GGA was carried out for a geometry-optimized DyPb2AuO5 structure.

Calculated values
Its total energy is -5.81 eV per atom. The volume comes out at 16.20 A^3/atom.

The structure in POSCAR format:
```
DyPb2AuO5
1.0
3.5315 0.0000 0.0000
-1.7657 6.9718 0.0000
0.0000 0.0000 11.8409
Pb Au O Dy
4 2 10 2
Cartesian
1.7657 5.0174 9.0706 Pb
0.0000 1.9544 3.1501 Pb
1.7657 5.5820 2.0578 Pb
0.0000 1.3898 7.9782 Pb
1.7657 0.3126 11.3041 Au
0.0000 6.6592 5.3836 Au
1.7657 5.9776 6.9501 O
1.7657 0.3674 3.4340 O
0.0000 6.6044 9.3545 O
1.7657 3.2625 1.5279 O
0.0000 0.9942 1.0297 O
1.7657 1.5877 6.1919 O
0.0000 3.7093 7.4484 O
0.0000 4.7147 4.6792 O
1.7657 2.2571 10.5997 O
0.0000 5.3841 0.2715 O
0.0000 3.0292 0.0635 Dy
1.7657 3.9426 5.9840 Dy
```

---

Record 11
A plane-wave DFT calculation with PBE-GGA was carried out for a geometry-optimized Rb2DyAuO4 structure.

Calculated values
Its total energy is -5.06 eV per atom. The volume comes out at 33.03 A^3/atom.

The structure in POSCAR format:
```
Rb2DyAuO4
1.0
-2.6181 4.4045 3.4961
1.5570 -0.8061 7.6843
8.2810 8.8883 0.5063
Rb O Au Dy
4 8 2 2
Cartesian
-0.7382 4.7693 7.1956 Rb
1.0755 6.9796 3.0178 Rb
4.5874 6.3132 0.9846 Rb
6.6490 9.9196 6.2391 Rb
4.1171 5.5249 6.9867 O
2.9293 7.9720 8.8002 O
8.0663 9.3843 2.6136 O
4.2232 4.6280 2.9764 O
7.2459 11.8591 9.6039 O
3.1701 6.8484 4.6101 O
0.3953 1.0134 7.4150 O
-1.2678 2.7164 3.7409 O
4.2644 5.1422 4.9693 Au
-1.3090 2.2022 1.7480 Au
0.0000 0.0000 0.0000 Dy
2.9554 7.3444 6.7174 Dy
```

---

Record 12
A plane-wave DFT calculation with PBE-GGA was carried out for a geometry-optimized RbDyAuO2 structure.

Calculated values
Its total energy is -5.44 eV per atom. The volume comes out at 24.16 A^3/atom.

The structure in POSCAR format:
```
RbDyAuO2
1.0
5.4709 0.0000 0.0000
0.0000 6.7987 0.6573
0.0000 -1.3692 6.3640
O Dy Rb Au
4 2 2 2
Cartesian
2.1070 4.7807 3.6040 O
3.3639 0.6488 3.4174 O
2.1070 1.3334 0.2354 O
3.3639 4.0961 6.7860 O
2.6402 -0.3423 1.5910 Dy
2.8307 -1.0269 4.7730 Dy
1.4256 2.3724 5.1017 Rb
4.0454 3.0570 1.9197 Rb
0.0000 0.0000 0.0000 Au
0.0000 -0.6846 3.1820 Au
```